Record 1
# Mn2AlBr GGA-PBE optimized geometry
data_Mn2AlBr
_cell_length_a 3.7881
_cell_length_b 3.7881
_cell_length_c 9.9503
_cell_angle_alpha 90.00
_cell_angle_beta 90.00
_cell_angle_gamma 90.00
_symmetry_space_group_name_H-M 'I -4 m 2'
_symmetry_Int_Tables_number 119
_symmetry_space_group_name_Hall 'I -4 -2'
loop_
_atom_site_label
_atom_site_type_symbol
_atom_site_fract_x
_atom_site_fract_y
_atom_site_fract_z
Mn1 Mn 0.0000 0.0000 0.0000
Mn2 Mn 0.0000 0.5000 0.2500
Al1 Al 0.0000 0.5000 0.7500
Br1 Br 0.0000 0.0000 0.5000
# DOS(E_F): 2.56 states/eV/f.u.
# Spin magnetization: 14.998 Bohr magnetons per cell
# Final energy: -5.461 eV per atom
# Raw formation energy: 478 meV per atom
# Polymorph energy (0 for the lowest one): 363 meV/atom

Record 2
# Mn2AlBr GGA-PBE optimized geometry
data_Mn2AlBr
_cell_length_a 13.2754
_cell_length_b 4.0092
_cell_length_c 3.1499
_cell_angle_alpha 90.00
_cell_angle_beta 103.61
_cell_angle_gamma 90.00
_symmetry_space_group_name_H-M 'C 1 m 1'
_symmetry_Int_Tables_number 8
loop_
_symmetry_equiv_pos_as_xyz
'x,y,z'
'x,-y,z'
'x+1/2,y+1/2,z'
'x+1/2,-y+1/2,z'
loop_
_atom_site_label
_atom_site_type_symbol
_atom_site_fract_x
_atom_site_fract_y
_atom_site_fract_z
Mn1 Mn 0.0000 0.0000 0.0000
Mn2 Mn 0.1736 0.0000 0.6718
Al1 Al 0.0362 0.5000 0.5360
Br1 Br 0.3020 0.5000 0.7882
# DOS(E_F): 2.55 states/eV/f.u.
# Spin magnetization: 14.419 Bohr magnetons per cell
# Final energy: -5.765 eV per atom
# Raw formation energy: 174 meV per atom
# Polymorph energy (0 for the lowest one): 59 meV/atom

Record 3
# MnAlBr GGA-PBE optimized geometry
data_MnAlBr
_cell_length_a 3.4335
_cell_length_b 5.6014
_cell_length_c 12.8037
_cell_angle_alpha 90.00
_cell_angle_beta 90.00
_cell_angle_gamma 90.00
_symmetry_space_group_name_H-M 'F m m 2'
_symmetry_Int_Tables_number 42
_symmetry_space_group_name_Hall 'F 2 -2'
loop_
_atom_site_label
_atom_site_type_symbol
_atom_site_fract_x
_atom_site_fract_y
_atom_site_fract_z
Mn1 Mn 0.0000 0.0000 0.0000
Al1 Al 0.0000 0.0000 0.3541
Br1 Br 0.0000 0.0000 0.6509
# DOS(E_F): 1.83 states/eV/f.u.
# Spin magnetization: 14.723 Bohr magnetons per cell
# Final energy: -4.625 eV per atom
# Raw formation energy: 236 meV per atom
# Polymorph energy (0 for the lowest one): 164 meV/atom

Record 4
# Mn2AlBr GGA-PBE optimized geometry
data_Mn2AlBr
_cell_length_a 3.1261
_cell_length_b 3.1261
_cell_length_c 23.3026
_cell_angle_alpha 90.00
_cell_angle_beta 90.00
_cell_angle_gamma 120.00
_symmetry_space_group_name_H-M 'R 3 m'
_symmetry_Int_Tables_number 160
_symmetry_space_group_name_Hall 'R 3 -2"'
loop_
_atom_site_label
_atom_site_type_symbol
_atom_site_fract_x
_atom_site_fract_y
_atom_site_fract_z
Mn1 Mn 0.0000 0.0000 0.0000
Mn2 Mn 0.0000 0.0000 0.2602
Al1 Al 0.0000 0.0000 0.7403
Br1 Br 0.0000 0.0000 0.5101
# DOS(E_F): 0.87 states/eV/f.u.
# Spin magnetization: 11.942 Bohr magnetons per cell
# Final energy: -5.645 eV per atom
# Raw formation energy: 294 meV per atom
# Polymorph energy (0 for the lowest one): 179 meV/atom

Record 5
# Mn4AlBr GGA-PBE optimized geometry
data_Mn4AlBr
_cell_length_a 7.0722
_cell_length_b 7.0722
_cell_length_c 7.0722
_cell_angle_alpha 90.00
_cell_angle_beta 90.00
_cell_angle_gamma 90.00
_symmetry_space_group_name_H-M 'F -4 3 m'
_symmetry_Int_Tables_number 216
_symmetry_space_group_name_Hall 'F -4 2 3'
loop_
_atom_site_label
_atom_site_type_symbol
_atom_site_fract_x
_atom_site_fract_y
_atom_site_fract_z
Mn1 Mn 0.1231 0.1231 0.1231
Al1 Al 0.2500 0.2500 0.7500
Br1 Br 0.0000 0.0000 0.5000
# DOS(E_F): 8.20 states/eV/f.u.
# Spin magnetization: 37.323 Bohr magnetons per cell
# Final energy: -6.365 eV per atom
# Raw formation energy: 651 meV per atom

Record 6
# Mn2AlBr GGA-PBE optimized geometry
data_Mn2AlBr
_cell_length_a 3.0684
_cell_length_b 4.3798
_cell_length_c 5.2899
_cell_angle_alpha 90.00
_cell_angle_beta 90.00
_cell_angle_gamma 90.00
_symmetry_space_group_name_H-M 'P m m m'
_symmetry_Int_Tables_number 47
loop_
_symmetry_equiv_pos_as_xyz
'x,y,z'
'-x,-y,-z'
'-x,-y,z'
'x,y,-z'
'x,-y,-z'
'-x,y,z'
'-x,y,-z'
'x,-y,z'
loop_
_atom_site_label
_atom_site_type_symbol
_atom_site_fract_x
_atom_site_fract_y
_atom_site_fract_z
Mn1 Mn 0.0000 0.0000 0.0000
Mn2 Mn 0.5000 0.0000 0.5000
Al1 Al 0.0000 0.5000 0.5000
Br1 Br 0.5000 0.5000 0.0000
# DOS(E_F): 2.96 states/eV/f.u.
# Spin magnetization: 7.175 Bohr magnetons per cell
# Final energy: -5.522 eV per atom
# Raw formation energy: 417 meV per atom
# Polymorph energy (0 for the lowest one): 302 meV/atom

Record 7
# Mn2AlBr GGA-PBE optimized geometry
data_Mn2AlBr
_cell_length_a 6.4127
_cell_length_b 6.4127
_cell_length_c 6.4127
_cell_angle_alpha 90.00
_cell_angle_beta 90.00
_cell_angle_gamma 90.00
_symmetry_space_group_name_H-M 'F -4 3 m'
_symmetry_Int_Tables_number 216
_symmetry_space_group_name_Hall 'F -4 2 3'
loop_
_atom_site_label
_atom_site_type_symbol
_atom_site_fract_x
_atom_site_fract_y
_atom_site_fract_z
Mn1 Mn 0.0000 0.0000 0.0000
Mn2 Mn 0.2500 0.2500 0.2500
Al1 Al 0.0000 0.0000 0.5000
Br1 Br 0.2500 0.2500 0.7500
# DOS(E_F): 4.85 states/eV/f.u.
# Spin magnetization: 24.034 Bohr magnetons per cell
# Final energy: -5.185 eV per atom
# Raw formation energy: 754 meV per atom
# Polymorph energy (0 for the lowest one): 639 meV/atom

Record 8
# MnAlBr GGA-PBE optimized geometry
data_MnAlBr
_cell_length_a 6.3450
_cell_length_b 6.3450
_cell_length_c 6.3450
_cell_angle_alpha 90.00
_cell_angle_beta 90.00
_cell_angle_gamma 90.00
_symmetry_space_group_name_H-M 'F -4 3 m'
_symmetry_Int_Tables_number 216
_symmetry_space_group_name_Hall 'F -4 2 3'
loop_
_atom_site_label
_atom_site_type_symbol
_atom_site_fract_x
_atom_site_fract_y
_atom_site_fract_z
Mn1 Mn 0.0000 0.0000 0.0000
Al1 Al 0.2500 0.2500 0.2500
Br1 Br 0.2500 0.2500 0.7500
# DOS(E_F): 1.92 states/eV/f.u.
# Spin magnetization: 12.231 Bohr magnetons per cell
# Final energy: -4.323 eV per atom
# Raw formation energy: 539 meV per atom
# Polymorph energy (0 for the lowest one): 467 meV/atom

Record 9
# MnAl2Br2 GGA-PBE optimized geometry
data_MnAl2Br2
_cell_length_a 5.0900
_cell_length_b 5.0900
_cell_length_c 5.0401
_cell_angle_alpha 90.00
_cell_angle_beta 90.00
_cell_angle_gamma 90.00
_symmetry_space_group_name_H-M 'P 4/m m m'
_symmetry_Int_Tables_number 123
_symmetry_space_group_name_Hall '-P 4 2'
loop_
_atom_site_label
_atom_site_type_symbol
_atom_site_fract_x
_atom_site_fract_y
_atom_site_fract_z
Mn1 Mn 0.0000 0.0000 0.0000
Al1 Al 0.5000 0.5000 0.0000
Al2 Al 0.5000 0.5000 0.5000
Br1 Br 0.0000 0.5000 0.5000
# DOS(E_F): 1.97 states/eV/f.u.
# Spin magnetization: 4.986 Bohr magnetons per cell
# Final energy: -3.581 eV per atom
# Raw formation energy: 419 meV per atom

Record 10
# Mn2AlBr GGA-PBE optimized geometry
data_Mn2AlBr
_cell_length_a 4.7970
_cell_length_b 4.7970
_cell_length_c 3.0186
_cell_angle_alpha 90.00
_cell_angle_beta 90.00
_cell_angle_gamma 90.00
_symmetry_space_group_name_H-M 'P 4/m m m'
_symmetry_Int_Tables_number 123
_symmetry_space_group_name_Hall '-P 4 2'
loop_
_atom_site_label
_atom_site_type_symbol
_atom_site_fract_x
_atom_site_fract_y
_atom_site_fract_z
Mn1 Mn 0.0000 0.5000 0.0000
Al1 Al 0.0000 0.0000 0.5000
Br1 Br 0.5000 0.5000 0.5000
# DOS(E_F): 3.13 states/eV/f.u.
# Spin magnetization: 7.113 Bohr magnetons per cell
# Final energy: -5.503 eV per atom
# Raw formation energy: 435 meV per atom
# Polymorph energy (0 for the lowest one): 320 meV/atom

Record 11
# Mn2AlBr GGA-PBE optimized geometry
data_Mn2AlBr
_cell_length_a 8.4502
_cell_length_b 3.1083
_cell_length_c 7.6162
_cell_angle_alpha 90.00
_cell_angle_beta 121.60
_cell_angle_gamma 90.00
_symmetry_space_group_name_H-M 'C 1 2/m 1'
_symmetry_Int_Tables_number 12
loop_
_symmetry_equiv_pos_as_xyz
'x,y,z'
'-x,-y,-z'
'-x,y,-z'
'x,-y,z'
'x+1/2,y+1/2,z'
'-x+1/2,-y+1/2,-z'
'-x+1/2,y+1/2,-z'
'x+1/2,-y+1/2,z'
loop_
_atom_site_label
_atom_site_type_symbol
_atom_site_fract_x
_atom_site_fract_y
_atom_site_fract_z
Mn1 Mn 0.1372 0.0000 0.3339
Al1 Al 0.0000 0.5000 0.5000
Br1 Br 0.0000 0.5000 0.0000
# DOS(E_F): 2.66 states/eV/f.u.
# Spin magnetization: 14.239 Bohr magnetons per cell
# Final energy: -5.734 eV per atom
# Raw formation energy: 204 meV per atom
# Polymorph energy (0 for the lowest one): 89 meV/atom

Record 12
# MnAl4Br GGA-PBE optimized geometry
data_MnAl4Br
_cell_length_a 7.6953
_cell_length_b 7.6953
_cell_length_c 7.6953
_cell_angle_alpha 90.00
_cell_angle_beta 90.00
_cell_angle_gamma 90.00
_symmetry_space_group_name_H-M 'F -4 3 m'
_symmetry_Int_Tables_number 216
_symmetry_space_group_name_Hall 'F -4 2 3'
loop_
_atom_site_label
_atom_site_type_symbol
_atom_site_fract_x
_atom_site_fract_y
_atom_site_fract_z
Mn1 Mn 0.0000 0.0000 0.0000
Al1 Al 0.1263 0.1263 0.6263
Br1 Br 0.2500 0.2500 0.2500
# DOS(E_F): 2.42 states/eV/f.u.
# Spin magnetization: 14.268 Bohr magnetons per cell
# Final energy: -3.996 eV per atom
# Raw formation energy: 307 meV per atom

Record 13
# Mn2AlBr GGA-PBE optimized geometry
data_Mn2AlBr
_cell_length_a 3.1484
_cell_length_b 3.3523
_cell_length_c 6.9409
_cell_angle_alpha 90.00
_cell_angle_beta 90.00
_cell_angle_gamma 90.00
_symmetry_space_group_name_H-M 'P m m m'
_symmetry_Int_Tables_number 47
loop_
_symmetry_equiv_pos_as_xyz
'x,y,z'
'-x,-y,-z'
'-x,-y,z'
'x,y,-z'
'x,-y,-z'
'-x,y,z'
'-x,y,-z'
'x,-y,z'
loop_
_atom_site_label
_atom_site_type_symbol
_atom_site_fract_x
_atom_site_fract_y
_atom_site_fract_z
Mn1 Mn 0.0000 0.0000 0.1922
Al1 Al 0.5000 0.5000 0.0000
Br1 Br 0.5000 0.0000 0.5000
# DOS(E_F): 2.56 states/eV/f.u.
# Spin magnetization: 6.787 Bohr magnetons per cell
# Final energy: -5.824 eV per atom
# Raw formation energy: 115 meV per atom
# Polymorph energy (0 for the lowest one): 0 meV/atom

Record 14
# MnAlBr GGA-PBE optimized geometry
data_MnAlBr
_cell_length_a 6.8337
_cell_length_b 6.8337
_cell_length_c 6.8337
_cell_angle_alpha 90.00
_cell_angle_beta 90.00
_cell_angle_gamma 90.00
_symmetry_space_group_name_H-M 'F -4 3 m'
_symmetry_Int_Tables_number 216
_symmetry_space_group_name_Hall 'F -4 2 3'
loop_
_atom_site_label
_atom_site_type_symbol
_atom_site_fract_x
_atom_site_fract_y
_atom_site_fract_z
Mn1 Mn 0.0000 0.0000 0.0000
Al1 Al 0.2500 0.2500 0.2500
Br1 Br 0.0000 0.0000 0.5000
# DOS(E_F): 1.86 states/eV/f.u.
# Spin magnetization: 18.750 Bohr magnetons per cell
# Final energy: -4.158 eV per atom
# Raw formation energy: 704 meV per atom
# Polymorph energy (0 for the lowest one): 631 meV/atom